Material: Sc2WCl
Method: DFT, PBE
State: relaxed

Lattice parameters (Å, degrees): 3.178 4.398 5.695 90.00 90.00 90.00
Atoms (fractional coordinates):
1 Sc 0.000 0.000 0.000
2 Sc 0.500 0.000 0.500
3 W 0.000 0.500 0.500
4 Cl 0.500 0.500 0.000

Energy relative to the lowest polymorph listed for this composition in meV/atom: 896
Fermi-level density of states in states/eV/cell: 4.88
Formation energy without anion corrections in eV per atom: 0.438
Volume in Å³/atom: 19.90
Electronic total energy in eV per cell: -25.71
Space group: Pmmm, No. 47
Spin magnetization in μB/f.u.: 0.000